A plane-wave DFT calculation with GGA-PBE was carried out for an optimized crystal structure of BC2.

Calculated values
**ΔE to the lowest computed polymorph**: 127 meV per atom
**Total DFT energy (no corrections)**: -8.009 eV/atom

Lattice parameters (Å, degrees): 2.550 7.581 3.970 90.00 90.00 90.00
Space group Pmm2 (No. 25)
One atom of each set of equivalent atoms:
B 0.000 0.000 0.000 x1
B 0.000 0.162 0.316 x2
B 0.500 0.500 0.549 x1
C 0.000 0.332 0.021 x2
C 0.000 0.500 0.247 x1
C 0.500 0.000 0.769 x1
C 0.500 0.167 0.567 x2
C 0.500 0.328 0.793 x2

A plane-wave DFT calculation with GGA-PBE was carried out for an optimized crystal structure of AcTbGe2Pd5.

Calculated values
**Total DFT energy (no corrections)**: -5.656 eV/atom

Lattice parameters (Å, degrees): 4.365 4.365 9.154 90.00 90.00 90.00
Space group P4/mmm (No. 123)
One atom of each set of equivalent atoms:
Ac 0.000 0.000 0.000 x1
Tb 0.000 0.000 0.500 x1
Ge 0.500 0.500 0.366 x2
Pd 0.000 0.500 0.236 x4
Pd 0.500 0.500 0.000 x1

A plane-wave DFT calculation with GGA-PBE was carried out for an optimized crystal structure of Ho2ThZrSc4.

Calculated values
**Total DFT energy (no corrections)**: -6.217 eV/atom

Lattice parameters (Å, degrees): 5.446 5.446 7.159 90.00 90.00 90.00
Space group P4/mmm (No. 123)
One atom of each set of equivalent atoms:
Ho 0.000 0.000 0.000 x1
Ho 0.500 0.500 0.500 x1
Th 0.000 0.000 0.500 x1
Zr 0.500 0.500 0.000 x1
Sc 0.000 0.500 0.236 x4

Calculated values (eV per atom) of ΔE_f for the records, taken in order: 0.367; -0.774; 0.089.